Entry 1:
Compound: Zr2TlRh
Source: the Alexandria database
Functional: meta-GGA SCAN
Structure: PBEsol geometry

Unit cell a=6.728 b=6.728 c=6.728 alpha=90.00 beta=90.00 gamma=90.00
Fractional positions:
Zr 0.000 0.000 0.000
Zr 0.000 0.500 0.500
Zr 0.250 0.250 0.250
Zr 0.250 0.750 0.750
Zr 0.500 0.000 0.500
Zr 0.500 0.500 0.000
Zr 0.750 0.250 0.750
Zr 0.750 0.750 0.250
Tl 0.000 0.000 0.500
Tl 0.000 0.500 0.000
Tl 0.500 0.000 0.000
Tl 0.500 0.500 0.500
Rh 0.250 0.250 0.750
Rh 0.250 0.750 0.250
Rh 0.750 0.250 0.250
Rh 0.750 0.750 0.750

SG: F-43m, No. 216
Formation energy (eV/atom): -0.2577


Entry 2:
Compound: Tl2PW
Source: the Alexandria database
Functional: meta-GGA SCAN
Structure: PBEsol geometry

Unit cell a=11.494 b=3.098 c=4.974 alpha=90.00 beta=110.66 gamma=90.00
Fractional positions:
Tl 0.000 0.000 0.000
Tl 0.204 0.000 0.666
Tl 0.500 0.500 0.000
Tl 0.704 0.500 0.666
P 0.291 0.500 0.255
P 0.791 0.000 0.255
W 0.451 0.000 0.463
W 0.951 0.500 0.463

SG: Cm, No. 8
ΔE to the lowest computed polymorph (eV/f.u.): 1.18
Formation energy (eV/atom): 0.5739


Entry 3:
Compound: Ba2ScWCl
Source: the Alexandria database
Functional: meta-GGA SCAN
Structure: PBEsol geometry

Unit cell a=6.356 b=6.356 c=4.590 alpha=90.00 beta=90.00 gamma=90.00
Fractional positions:
Ba 0.000 0.500 0.000
Ba 0.500 0.000 0.000
Sc 0.000 0.000 0.000
W 0.000 0.000 0.500
Cl 0.500 0.500 0.500

SG: P4/mmm, No. 123
Raw formation energy (meV/atom): 635.3


Entry 4:
Compound: Cd2PbAu
Source: the Alexandria database
Functional: meta-GGA SCAN
Structure: PBEsol geometry

Unit cell a=9.375 b=3.465 c=5.612 alpha=90.00 beta=102.67 gamma=90.00
Fractional positions:
Cd 0.238 0.000 0.209
Cd 0.262 0.500 0.791
Cd 0.738 0.500 0.209
Cd 0.762 0.000 0.791
Pb 0.000 0.000 0.500
Pb 0.500 0.500 0.500
Au 0.000 0.500 0.000
Au 0.500 0.000 0.000

SG: C2/m, No. 12
Formation energy (eV/atom): -0.0468


Entry 5:
Compound: Al2Ag
Source: the Alexandria database
Functional: meta-GGA SCAN
Structure: PBEsol geometry

Unit cell a=7.016 b=5.604 c=4.947 alpha=90.00 beta=90.20 gamma=90.00
Fractional positions:
Al 0.000 0.128 0.247
Al 0.000 0.372 0.747
Al 0.000 0.628 0.253
Al 0.000 0.872 0.753
Al 0.333 0.121 0.591
Al 0.333 0.379 0.091
Al 0.667 0.621 0.909
Al 0.667 0.879 0.409
Ag 0.330 0.618 0.591
Ag 0.330 0.882 0.091
Ag 0.670 0.118 0.909
Ag 0.670 0.382 0.409

SG: P2_1/c, No. 14
Formation energy (eV/atom): -0.0482


Entry 6:
Compound: KNi2Cl
Source: the Alexandria database
Functional: meta-GGA SCAN
Structure: PBEsol geometry

Unit cell a=3.744 b=3.744 c=5.964 alpha=90.00 beta=90.00 gamma=90.00
Fractional positions:
K 0.000 0.000 0.000
Ni 0.000 0.500 0.500
Ni 0.500 0.000 0.500
Cl 0.500 0.500 0.000

SG: P4/mmm, No. 123
Raw formation energy (meV/atom): 249.9
ΔE to the lowest computed polymorph (eV/f.u.): 1.05


Entry 7:
Compound: ZnTcNi
Source: the Alexandria database
Functional: meta-GGA SCAN
Structure: PBEsol geometry

Unit cell a=2.628 b=2.628 c=6.321 alpha=90.00 beta=90.00 gamma=120.00
Fractional positions:
Zn 0.000 0.000 0.000
Tc 0.333 0.667 0.362
Ni 0.667 0.333 0.679

SG: P3m1, No. 156
Formation energy (eV/atom): 0.0473


Entry 8:
Compound: Li2ZrMo
Source: the Alexandria database
Functional: meta-GGA SCAN
Structure: PBEsol geometry

Unit cell a=5.259 b=10.409 c=2.682 alpha=90.00 beta=110.31 gamma=90.00
Fractional positions:
Li 0.250 0.250 0.000
Li 0.250 0.750 0.000
Li 0.750 0.250 0.000
Li 0.750 0.750 0.000
Zr 0.000 0.000 0.500
Zr 0.500 0.500 0.500
Mo 0.000 0.500 0.500
Mo 0.500 0.000 0.500

SG: C2/m, No. 12
ΔE to the lowest computed polymorph (eV/f.u.): 0.17
Formation energy (eV/atom): 0.3519